VASP calculation (PBE) on a relaxed CrIn2NiGe crystal.

CIF file:
```
data_CrIn2NiGe
_space_group_name_H-M_alt 'P 4/m m m'
_space_group_IT_number 123
_space_group_name_Hall '-P 4 2'
_cell_length_a 5.074
_cell_length_b 5.074
_cell_length_c 4.608
_cell_angle_alpha 90.00
_cell_angle_beta 90.00
_cell_angle_gamma 90.00
loop_
_atom_site_label
_atom_site_type_symbol
_atom_site_fract_x
_atom_site_fract_y
_atom_site_fract_z
Cr1 Cr 0.000 0.000 0.000
In1 In 0.000 0.500 0.000
Ni1 Ni 0.500 0.500 0.500
Ge1 Ge 0.000 0.000 0.500
```

Computed properties:
Crystal system ... tetragonal
ΔE_f ... 803 meV/atom